A plane-wave DFT calculation with PBE was carried out for a relaxed structure of Rb3Na4Hg.

Results
* formation enthalpy at 0 K: -0.035 eV per atom
* volume: 853.2 Å³/cell
* density: 2.14 g cm⁻³
* density of states at the Fermi level: 7.93 states/eV/cell
* uncorrected energy: -17.52 eV per cell

```
data_Rb3Na4Hg
_chemical_formula_sum 'Rb6 Na8 Hg2'
_space_group_name_H-M_alt 'P m m n'
_space_group_IT_number 59
_cell_length_a 7.2263
_cell_length_b 14.7134
_cell_length_c 8.0243
_cell_angle_alpha 90.00
_cell_angle_beta 90.00
_cell_angle_gamma 90.00
loop_
_space_group_symop_operation_xyz
'x,y,z'
'-x,-y,-z'
'-x+1/2,-y+1/2,z'
'x+1/2,y+1/2,-z'
'x+1/2,-y,-z'
'-x+1/2,y,z'
'-x,y+1/2,-z'
'x,-y+1/2,z'
loop_
_atom_site_label
_atom_site_fract_x
_atom_site_fract_y
_atom_site_fract_z
Rb1 0.2500 0.0095 0.1851
Rb2 0.2500 0.7500 0.5507
Na1 0.0008 0.2500 0.9822
Na2 0.2500 0.1234 0.6511
Hg1 0.2500 0.2500 0.3214
```

A plane-wave DFT calculation with PBE was carried out for a relaxed structure of Ba5UN4F2.

Results
* volume: 573.3 Å³/cell
* uncorrected formation energy: -1.476 eV per atom
* density: 5.90 g cm⁻³
* density of states at the Fermi level: 11.07 states/eV/cell
* uncorrected energy: -151.31 eV per cell

```
data_Ba5UN4F2
_chemical_formula_sum 'Ba10 U2 N8 F4'
_space_group_name_H-M_alt 'A m m 2'
_space_group_IT_number 38
_cell_length_a 7.9986
_cell_length_b 11.0463
_cell_length_c 6.4891
_cell_angle_alpha 90.00
_cell_angle_beta 90.00
_cell_angle_gamma 90.00
loop_
_space_group_symop_operation_xyz
'x,y,z'
'-x,-y,z'
'-x,y,z'
'x,-y,z'
'x,y+1/2,z+1/2'
'-x,-y+1/2,z+1/2'
'-x,y+1/2,z+1/2'
'x,-y+1/2,z+1/2'
loop_
_atom_site_label
_atom_site_fract_x
_atom_site_fract_y
_atom_site_fract_z
Ba1 0.0000 0.0000 0.0000
Ba2 0.2748 0.1766 0.4944
U1 0.5000 0.0000 0.0007
N1 0.2874 0.0000 0.2022
N2 0.5000 0.1619 0.8256
F1 0.0000 0.2140 0.7765
```